[1]
Pm6ThMg, optimized geometry, DFT GGA-PBE; DOS(E_F) = 11.634 states/eV/f.u.; symmetry = I4/mmm; crystal system = tetragonal; VASP energy = -37.18 eV per cell; density = 7.14 Mg/m³; energy relative to the elements = 0.34 eV per formula unit; relative energy among the computed polymorphs = 13 meV/atom
1.0
-4.493 -1.713 1.440
0.003 -3.234 -3.839
2.387 -9.586 4.795
Pm Th Mg
6 1 1
direct
0.748 0.748 0.504
0.621 0.121 0.758
0.121 0.621 0.758
0.379 0.879 0.242
0.252 0.252 0.496
0.879 0.379 0.242
0.500 0.500 0.000
0.000 0.000 0.000

***

[2]
Er2Hg7, optimized geometry, DFT GGA-PBE; DOS(E_F) = 3.291 states/eV/f.u.; symmetry = P-3m1; crystal system = trigonal; VASP energy = -13.34 eV per cell; density = 13.46 Mg/m³; energy relative to the elements = -2.11 eV per formula unit
1.0
5.122 0.000 0.000
-2.561 4.436 0.000
0.000 0.000 9.437
Er Hg
2 7
direct
0.333 0.667 0.771
0.667 0.333 0.229
0.333 0.667 0.104
0.667 0.333 0.896
0.333 0.667 0.432
0.667 0.333 0.568
0.000 0.000 0.335
0.000 0.000 0.665
0.000 0.000 0.000

***

[3]
YTe2I2, optimized geometry, DFT GGA-PBE; DOS(E_F) = 6.454 states/eV/f.u.; symmetry = P4/mbm; crystal system = tetragonal; VASP energy = -35.44 eV per cell; density = 4.63 Mg/m³; uncorrected formation energy = -36.2 kJ/mol of atoms; relative energy among the computed polymorphs = 160 meV/atom
1.0
7.870 0.000 0.000
0.000 7.870 0.000
0.000 0.000 6.918
I Y Te
4 2 4
direct
0.332 0.832 0.000
0.832 0.668 0.000
0.668 0.168 0.000
0.168 0.332 0.000
0.000 0.000 0.000
0.500 0.500 0.000
0.120 0.620 0.500
0.620 0.880 0.500
0.880 0.380 0.500
0.380 0.120 0.500

***

[4]
Ba3Ag2H, optimized geometry, DFT GGA-PBE; DOS(E_F) = 3.936 states/eV/f.u.; symmetry = Cmcm; crystal system = orthorhombic; VASP energy = -32.74 eV per cell; density = 5.19 Mg/m³
1.0
5.008 0.000 1.595
0.000 9.269 0.001
0.003 -0.001 8.660
Ba Ag H
6 4 2
direct
0.500 0.250 0.000
0.500 0.750 0.000
0.141 0.000 0.718
0.859 0.500 0.282
0.141 0.500 0.718
0.859 0.000 0.282
0.708 0.750 0.583
0.709 0.250 0.583
0.291 0.750 0.417
0.292 0.250 0.417
0.000 0.750 0.000
0.000 0.250 0.000

***

[5]
MgGePbCl6, optimized geometry, DFT GGA-PBE; DOS(E_F) = 0.000 states/eV/f.u.; symmetry = P-31c; crystal system = trigonal; VASP energy = -64.47 eV per cell; density = 3.48 Mg/m³; uncorrected formation energy = -120.4 kJ/mol of atoms
1.0
-6.367 1.506 1.575
3.994 -2.921 4.561
3.674 11.317 4.029
Mg Ge Pb Cl
2 2 2 12
direct
0.667 0.333 0.250
0.333 0.667 0.750
0.333 0.667 0.250
0.667 0.333 0.750
0.000 0.000 0.000
0.000 0.000 0.500
0.651 0.633 0.134
0.983 0.349 0.134
0.349 0.983 0.634
0.017 0.651 0.866
0.367 0.349 0.366
0.983 0.633 0.366
0.633 0.983 0.866
0.651 0.017 0.366
0.017 0.367 0.634
0.367 0.017 0.134
0.633 0.651 0.634
0.349 0.367 0.866

***

[6]
Sm2Tm6Mg, optimized geometry, DFT GGA-PBE; DOS(E_F) = 15.075 states/eV/f.u.; symmetry = P-6m2; crystal system = hexagonal; VASP energy = -37.14 eV per cell; density = 8.03 Mg/m³; energy relative to the elements = 0.72 eV per formula unit; relative energy among the computed polymorphs = 50 meV/atom
1.0
-0.886 3.167 1.243
-2.369 -2.597 -0.042
7.482 -7.203 23.681
Sm Tm Mg
2 6 1
direct
0.667 0.333 0.327
0.667 0.333 0.673
0.667 0.333 0.894
0.333 0.667 0.436
0.333 0.667 0.787
0.333 0.667 0.213
0.333 0.667 0.564
0.667 0.333 0.106
0.333 0.667 0.000

***

[7]
Ho3AgSb2, optimized geometry, DFT GGA-PBE; DOS(E_F) = 5.983 states/eV/f.u.; symmetry = C2/c; crystal system = monoclinic; VASP energy = -57.92 eV per cell; density = 8.16 Mg/m³; uncorrected formation energy = -66.4 kJ/mol of atoms
1.0
6.108 0.000 0.000
0.000 8.717 0.002
-3.054 -2.179 6.465
Ho Ag Sb
6 2 4
direct
0.501 0.250 0.000
0.499 0.750 0.000
0.171 0.086 0.343
0.829 0.414 0.657
0.171 0.586 0.343
0.829 0.914 0.657
0.999 0.750 0.000
0.001 0.250 0.000
0.666 0.583 0.332
0.666 0.083 0.332
0.334 0.917 0.668
0.334 0.417 0.668

***

[8]
AcSmCuPt, optimized geometry, DFT GGA-PBE; DOS(E_F) = 3.288 states/eV/f.u.; symmetry = Amm2; crystal system = orthorhombic; VASP energy = -21.61 eV per cell; density = 10.25 Mg/m³; energy relative to the elements = -2.64 eV per formula unit; relative energy among the computed polymorphs = 0 meV/atom
1.0
-3.138 -2.383 0.824
1.619 -0.667 4.237
-1.319 5.618 1.389
Ac Sm Cu Pt
1 1 1 1
direct
0.141 0.000 0.282
0.867 0.500 0.733
0.571 0.500 0.142
0.421 0.000 0.843

***

[9]
Y2Si4TcNi3, optimized geometry, DFT GGA-PBE; DOS(E_F) = 5.942 states/eV/f.u.; symmetry = P-4m2; crystal system = tetragonal; VASP energy = -70.36 eV per cell; density = 6.04 Mg/m³; uncorrected formation energy = -77.5 kJ/mol of atoms
1.0
-3.411 -0.643 -1.982
1.937 -2.382 -2.560
-1.867 -7.633 5.691
Y Si Tc Ni
2 4 1 3
direct
0.500 0.000 0.240
0.000 0.500 0.760
0.500 0.500 0.000
0.000 0.000 0.000
0.500 0.000 0.636
0.000 0.500 0.364
0.500 0.500 0.500
0.000 0.000 0.500
0.500 0.000 0.877
0.000 0.500 0.123

***

[10]
MgCrOs2, optimized geometry, DFT GGA-PBE; DOS(E_F) = 4.253 states/eV/f.u.; symmetry = Pmmm; crystal system = orthorhombic; VASP energy = -32.20 eV per cell; density = 13.14 Mg/m³; energy relative to the elements = 1.48 eV per formula unit
1.0
-1.096 0.315 -2.731
-0.938 -4.423 -0.133
-3.903 0.778 1.655
Cr Mg Os
1 1 2
direct
0.500 0.000 0.500
0.000 0.500 0.500
0.000 0.000 0.000
0.500 0.500 0.000

***

[11]
LaTi2Cu2, optimized geometry, DFT GGA-PBE; DOS(E_F) = 8.506 states/eV/f.u.; symmetry = I4/mmm; crystal system = tetragonal; VASP energy = -27.90 eV per cell; density = 6.08 Mg/m³; energy relative to the elements = 1.01 eV per formula unit; relative energy among the computed polymorphs = 139 meV/atom
1.0
4.195 0.000 0.000
0.000 4.195 0.000
2.097 2.097 5.618
Ti Cu La
2 2 1
direct
0.373 0.373 0.254
0.627 0.627 0.746
0.750 0.250 0.500
0.250 0.750 0.500
0.000 0.000 0.000

***

[12]
ScIn2Bi, optimized geometry, DFT GGA-PBE; DOS(E_F) = 2.757 states/eV/f.u.; symmetry = I-42d; crystal system = tetragonal; VASP energy = -31.93 eV per cell; density = 7.21 Mg/m³; energy relative to the elements = -0.28 eV per formula unit
1.0
-8.018 -2.569 1.488
2.145 -7.976 -2.212
-2.205 -5.879 2.533
Sc Bi In
2 2 4
direct
0.500 0.500 0.000
0.250 0.750 0.500
0.000 0.000 0.000
0.750 0.250 0.500
0.622 0.125 0.250
0.128 0.625 0.250
0.375 0.378 0.750
0.875 0.872 0.750

***

[13]
Mg2TlCu, optimized geometry, DFT GGA-PBE; DOS(E_F) = 0.770 states/eV/f.u.; symmetry = R3m; crystal system = trigonal; VASP energy = -9.16 eV per cell; density = 6.12 Mg/m³; energy relative to the elements = 0.49 eV per formula unit
1.0
-2.727 6.165 -6.802
-0.505 4.466 -8.456
-3.555 3.366 -8.231
Cu Mg Tl
1 2 1
direct
0.748 0.748 0.748
0.012 0.012 0.012
0.249 0.249 0.249
0.491 0.491 0.491

***

[14]
Si2WSe, optimized geometry, DFT GGA-PBE; DOS(E_F) = 0.281 states/eV/f.u.; symmetry = Imm2; crystal system = orthorhombic; VASP energy = -53.89 eV per cell; density = 7.96 Mg/m³; uncorrected formation energy = 8.2 kJ/mol of atoms
1.0
-0.696 -2.304 -2.155
6.090 2.370 -4.500
3.133 -3.291 2.507
Si W Se
4 2 2
direct
0.000 0.194 0.732
0.000 0.806 0.732
0.500 0.694 0.232
0.500 0.306 0.232
0.000 0.500 0.955
0.500 0.000 0.455
0.000 0.000 0.086
0.500 0.500 0.586

***

[15]
EuTmMgGa, optimized geometry, DFT GGA-PBE; DOS(E_F) = 4.394 states/eV/f.u.; symmetry = F-43m; crystal system = cubic; VASP energy = -20.44 eV per cell; density = 6.68 Mg/m³; energy relative to the elements = -1.08 eV per formula unit
1.0
-0.965 1.779 4.859
-2.911 -2.864 3.321
2.258 -2.321 4.150
Eu Mg Tm Ga
1 1 1 1
direct
0.000 0.000 0.000
0.750 0.750 0.750
0.500 0.500 0.500
0.250 0.250 0.250

***

[16]
Ca4SnPb7, optimized geometry, DFT GGA-PBE; DOS(E_F) = 5.900 states/eV/f.u.; symmetry = P-1; crystal system = triclinic; VASP energy = -41.46 eV per cell; density = 7.60 Mg/m³; energy relative to the elements = -3.49 eV per formula unit
1.0
5.241 -1.204 2.683
0.485 9.044 2.028
2.183 0.160 9.118
Ca Sn Pb
4 1 7
direct
0.682 0.282 0.597
0.318 0.718 0.403
0.795 0.690 0.914
0.205 0.310 0.086
0.000 0.000 0.000
0.812 0.961 0.433
0.188 0.039 0.567
0.022 0.651 0.188
0.978 0.349 0.812
0.506 0.619 0.701
0.500 0.000 0.000
0.494 0.381 0.299

***

[17]
NbMoPb2, optimized geometry, DFT GGA-PBE; DOS(E_F) = 4.482 states/eV/f.u.; symmetry = I-42d; crystal system = tetragonal; VASP energy = -48.46 eV per cell; density = 10.79 Mg/m³; energy relative to the elements = 4.09 eV per formula unit; relative energy among the computed polymorphs = 350 meV/atom
1.0
7.836 0.000 0.000
0.000 7.836 0.000
3.918 3.918 3.023
Pb Mo Nb
4 2 2
direct
0.634 0.125 0.250
0.116 0.625 0.250
0.375 0.366 0.750
0.875 0.884 0.750
0.000 0.000 0.000
0.750 0.250 0.500
0.500 0.500 0.000
0.250 0.750 0.500

***

[18]
TcPS, optimized geometry, DFT GGA-PBE; DOS(E_F) = 0.687 states/eV/f.u.; symmetry = P1; crystal system = triclinic; VASP energy = -41.49 eV per cell; density = 5.84 Mg/m³; uncorrected formation energy = -27.1 kJ/mol of atoms; relative energy among the computed polymorphs = 247 meV/atom
1.0
3.017 0.001 0.000
-0.992 5.483 0.001
-1.023 -0.704 5.532
Tc P S
2 2 2
direct
0.778 0.105 0.272
0.439 0.658 0.840
0.227 0.243 0.971
0.964 0.935 0.672
0.403 0.411 0.465
0.080 0.745 0.171

***

[19]
Rb2NaInHg2, optimized geometry, DFT GGA-PBE; DOS(E_F) = 2.665 states/eV/f.u.; symmetry = Ibam; crystal system = orthorhombic; VASP energy = -15.34 eV per cell; density = 5.02 Mg/m³; energy relative to the elements = -1.07 eV per formula unit
1.0
-5.676 3.889 -1.549
-4.479 -4.828 4.289
6.483 5.247 5.476
Rb Na In Hg
4 2 2 4
direct
0.412 0.174 0.349
0.588 0.826 0.651
0.063 0.326 0.651
0.937 0.674 0.349
0.000 0.750 0.000
0.000 0.250 0.000
0.500 0.750 0.000
0.500 0.250 0.000
0.823 0.097 0.195
0.372 0.597 0.195
0.628 0.403 0.805
0.177 0.903 0.805

***

[20]
La2SbN, optimized geometry, DFT GGA-PBE; DOS(E_F) = 3.521 states/eV/f.u.; symmetry = R-3m; crystal system = trigonal; VASP energy = -26.65 eV per cell; density = 6.88 Mg/m³; uncorrected formation energy = -104.8 kJ/mol of atoms; relative energy among the computed polymorphs = 233 meV/atom
1.0
3.812 0.000 0.000
1.906 3.301 0.000
1.906 1.100 7.928
Sb N La
1 1 2
direct
0.000 0.000 0.000
0.500 0.500 0.500
0.773 0.773 0.680
0.227 0.227 0.320

***

[21]
ZrAlCu2, optimized geometry, DFT GGA-PBE; DOS(E_F) = 2.408 states/eV/f.u.; symmetry = Pmma; crystal system = orthorhombic; VASP energy = -42.64 eV per cell; density = 6.48 Mg/m³; energy relative to the elements = -0.84 eV per formula unit
1.0
-3.862 0.873 0.362
-0.754 -4.311 2.353
1.164 2.839 5.574
Zr Al Cu
2 2 4
direct
0.000 0.250 0.656
0.000 0.750 0.344
0.000 0.250 0.125
0.000 0.750 0.875
0.500 0.000 0.000
0.500 0.500 0.000
0.500 0.250 0.369
0.500 0.750 0.631

***

[22]
Th2ZnAs3Rh4, optimized geometry, DFT GGA-PBE; DOS(E_F) = 7.207 states/eV/f.u.; symmetry = P-4m2; crystal system = tetragonal; VASP energy = -68.42 eV per cell; density = 10.57 Mg/m³; energy relative to the elements = -8.95 eV per formula unit
1.0
4.194 0.000 0.000
0.000 4.194 0.000
0.000 0.000 10.415
Th Zn As Rh
2 1 3 4
direct
0.500 0.000 0.250
0.000 0.500 0.750
0.500 0.500 0.500
0.000 0.000 0.500
0.500 0.000 0.865
0.000 0.500 0.135
0.500 0.500 0.000
0.000 0.000 0.000
0.500 0.000 0.634
0.000 0.500 0.366

***

[23]
Dy2ThPa, optimized geometry, DFT GGA-PBE; DOS(E_F) = 7.899 states/eV/f.u.; symmetry = P4/mmm; crystal system = tetragonal; VASP energy = -24.84 eV per cell; density = 10.94 Mg/m³; energy relative to the elements = 1.28 eV per formula unit; relative energy among the computed polymorphs = 153 meV/atom
1.0
3.509 0.000 0.000
0.000 5.840 0.000
0.000 0.000 5.840
Pa Th Dy
1 1 2
direct
0.500 0.500 0.500
0.500 0.000 0.000
0.000 0.000 0.500
0.000 0.500 0.000

***

[24]
ScFe2Ag, optimized geometry, DFT GGA-PBE; DOS(E_F) = 4.842 states/eV/f.u.; symmetry = I-42d; crystal system = tetragonal; VASP energy = -48.53 eV per cell; density = 6.54 Mg/m³; energy relative to the elements = 1.84 eV per formula unit
1.0
-3.493 -1.416 0.438
0.374 -1.926 -3.248
1.969 -8.918 3.299
Sc Fe Ag
2 4 2
direct
0.500 0.500 0.000
0.250 0.750 0.500
0.611 0.125 0.250
0.139 0.625 0.250
0.375 0.389 0.750
0.875 0.861 0.750
0.000 0.000 0.000
0.750 0.250 0.500